Computed, not measured: an optimized crystal structure of Dy2HgPd8 at the PBE-GGA level of DFT.

The space group is C2/m (No. 12) and the conventional cell measures 14.683, 4.235 and 6.590 Å, with angles of 90.00, 107.42 and 90.00 degrees. The asymmetric unit holds Dy at (0.216, 0.000, 0.166), Hg at (0.000, 0.500, 0.500), Pd at (0.036, 0.000, 0.222), Pd at (0.091, 0.500, 0.948), Pd at (0.144, 0.000, 0.686) and Pd at (0.172, 0.500, 0.402).

For the calculated formation energy, the calculation gives -543 meV/atom. The calculation puts the total magnetic moment at 0.0 μB/f.u.